First-principles (PBE) data for a relaxed structure of Rb3Cd2Hg4, as listed in Alexandria via LeMat-Bulk.

a = 5.348 Å, b = 7.057 Å, c = 10.279 Å
α = 108.49°, β = 90.00°, γ = 112.27°
Sites, in units of the cell vectors:
Rb1 0.626 0.252 0.689
Rb2 0.000 0.000 0.000
Rb3 0.374 0.748 0.311
Cd1 0.674 0.348 0.337
Cd2 0.326 0.652 0.663
Hg1 0.730 0.461 0.071
Hg2 0.270 0.539 0.929
Hg3 0.901 0.802 0.580
Hg4 0.099 0.198 0.420

Calculated values
Raw total energy ... -0.852 eV per atom
Space-group type ... No. 12
ΔE_f ... -1.7 eV per formula unit
V ... 37.48 A^3/atom


First-principles (PBE) data for a relaxed structure of SrSm2NpN4, as listed in Alexandria via LeMat-Bulk.

a = 3.624 Å, b = 6.503 Å, c = 12.699 Å
α = 90.00°, β = 90.00°, γ = 106.18°
Last column: magnetic moment on the atom in μB.
Sites, in units of the cell vectors:
Sr1 0.137 0.273 0.750  0.03
Sr2 0.863 0.727 0.250  0.03
Sm1 0.370 0.740 0.522  0.05
Sm2 0.630 0.260 0.022  0.05
Sm3 0.630 0.260 0.478  0.05
Sm4 0.370 0.740 0.978  0.05
Np1 0.870 0.740 0.750  2.93
Np2 0.130 0.260 0.250  2.93
N1 0.243 0.486 0.119  -0.07
N2 0.757 0.514 0.619  -0.07
N3 0.757 0.514 0.881  -0.07
N4 0.243 0.486 0.381  -0.07
N5 0.000 0.000 0.500  -0.04
N6 0.000 0.000 0.000  -0.04
N7 0.467 0.934 0.750  -0.12
N8 0.533 0.066 0.250  -0.12

Calculated values
Raw total energy ... -8.170 eV per atom
Space-group type ... No. 63
ΔE_f (raw) ... -1.00 eV per atom
V ... 17.96 A^3/atom


First-principles (PBE) data for a relaxed structure of Sr8GaSn2, as listed in Alexandria via LeMat-Bulk.

a = 5.700 Å, b = 7.869 Å, c = 10.637 Å
α = 106.12°, β = 105.54°, γ = 90.00°
Sites, in units of the cell vectors:
Sr1 0.405 0.567 0.811
Sr2 0.658 0.954 0.316
Sr3 0.793 0.699 0.586
Sr4 0.971 0.208 0.943
Sr5 0.207 0.301 0.414
Sr6 0.342 0.046 0.684
Sr7 0.595 0.433 0.189
Sr8 0.029 0.792 0.057
Ga1 0.500 0.000 0.000
Sn1 0.812 0.287 0.623
Sn2 0.188 0.713 0.377

Calculated values
Raw total energy ... -2.592 eV per atom
Space-group type ... No. 12
ΔE_f ... -4.0 eV per formula unit
V ... 40.02 A^3/atom


First-principles (PBE) data for a relaxed structure of CaNdCu2, as listed in Alexandria via LeMat-Bulk.

a = 3.996 Å, b = 4.408 Å, c = 5.760 Å
α = 90.00°, β = 110.18°, γ = 90.00°
Sites, in units of the cell vectors:
Ca1 0.724 0.000 0.987
Nd1 0.443 0.500 0.426
Cu1 0.148 0.500 0.834
Cu2 0.016 0.000 0.571

Calculated values
Raw total energy ... -3.890 eV per atom
Space-group type ... No. 6
ΔE_f ... -0.6 eV per formula unit
V ... 23.81 A^3/atom


First-principles (PBE) data for a relaxed structure of BaTa2Br, as listed in Alexandria via LeMat-Bulk.

a = 7.677 Å, b = 7.677 Å, c = 7.677 Å
α = 148.86°, β = 148.86°, γ = 44.61°
Last column: magnetic moment on the atom in μB.
Sites, in units of the cell vectors:
Ba1 0.250 0.750 0.500  0.05
Br1 0.750 0.250 0.500  0.02
Ta1 0.000 0.000 0.000  0.30
Ta2 0.500 0.500 0.000  0.30

Calculated values
Raw total energy ... -6.000 eV per atom
Space-group type ... No. 139
ΔE_f (raw) ... 0.82 eV per atom
V ... 30.15 A^3/atom


First-principles (PBE) data for a relaxed structure of Sc4PbAuO, as listed in Alexandria via LeMat-Bulk.

a = 6.114 Å, b = 6.128 Å, c = 8.073 Å
α = 90.00°, β = 112.25°, γ = 90.00°
Sites, in units of the cell vectors:
Sc1 0.933 0.250 0.867
Sc2 0.409 0.750 0.819
Sc3 0.067 0.750 0.133
Sc4 0.591 0.250 0.181
Sc5 0.500 0.500 0.500
Sc6 0.000 0.000 0.500
Sc7 0.500 0.000 0.500
Sc8 0.000 0.500 0.500
Pb1 0.605 0.750 0.210
Pb2 0.395 0.250 0.790
Au1 0.119 0.250 0.238
Au2 0.881 0.750 0.762
O1 0.255 0.750 0.509
O2 0.745 0.250 0.491

Calculated values
Raw total energy ... -6.556 eV per atom
Space-group type ... No. 63
ΔE_f (raw) ... -1.23 eV per atom
V ... 20.00 A^3/atom


Calculated M_tot (Bohr magnetons per cell), listed in the same order as above: 0.00; 6.00; 0.00; 0.00; 1.17; 0.00
Calculated density (g/cm3), listed in the same order as above: 6.319; 7.873; 3.803; 5.429; 7.973; 7.117
Calculated Fermi-level density of states (states/eV per cell), listed in the same order as above: 3.6; 11.7; 9.6; 2.5; 6.5; 8.9